Entry 1:
Below is a relaxed structure of CePrSi, with properties calculated at the PBE level. Values from VASP.

Properties
Space group = No. 11
Magnetization = 0.7 μB/f.u.
DOS(E_F) = 8.1 states/eV/cell
Uncorrected formation energy = -0.524 eV/atom
Distance to the lowest polymorph of the same formula = 0.0 meV/atom

Structure (Quantum ESPRESSO input):
```
&SYSTEM
  ibrav = 0, nat = 6, ntyp = 3
/
ATOMIC_SPECIES
Pr 140.91 Pr.upf
Si 28.09 Si.upf
Ce 140.12 Ce.upf
ATOMIC_POSITIONS angstrom
Pr -1.5878 2.6861 0.5361
Pr -3.8974 5.7410 0.4572
Si -4.1511 3.0890 -1.2719
Si -1.3341 5.3382 2.2653
Ce -3.2193 7.0057 4.0979
Ce -1.5621 8.4134 1.6050
CELL_PARAMETERS angstrom
-0.7751 2.4183 -3.5360
-4.2195 -0.1348 0.8326
0.7040 6.9918 4.7096
```

Entry 2:
Below is a relaxed structure of Pm4YErS8, with properties calculated at the PBE level. Values from VASP.

Properties
Space group = No. 160
Magnetization = 0.0 μB/f.u.
DOS(E_F) = 8.5 states/eV/cell
Uncorrected formation energy = -1.922 eV/atom

Structure (Quantum ESPRESSO input):
```
&SYSTEM
  ibrav = 0, nat = 14, ntyp = 4
/
ATOMIC_SPECIES
S 32.06 S.upf
Er 167.26 Er.upf
Pm 145.00 Pm.upf
Y 88.91 Y.upf
ATOMIC_POSITIONS angstrom
S -0.3109 -4.5386 2.1776
S -1.7178 -8.3418 1.5295
S 0.5242 -9.7989 6.9489
S 2.0184 -7.5260 3.7631
S -0.7552 -13.6370 6.2438
S -3.0898 -10.5880 4.7884
S -1.7481 -6.5542 5.3178
S 0.6313 -11.6962 3.2157
Er -1.8596 -8.9303 6.3722
Pm 0.7462 -9.2397 2.1264
Pm 0.7088 -5.2152 4.7484
Pm -1.4470 -2.1369 3.2009
Pm -2.7200 -5.9639 2.6986
Y -2.8825 -4.2332 6.3678
CELL_PARAMETERS angstrom
-2.5694 -7.7247 -1.0139
4.3515 -6.2136 3.1236
-2.8938 -4.2319 6.3862
```

Entry 3:
Below is a relaxed structure of CrAs2PPb, with properties calculated at the PBE level. Values from VASP.

Properties
Space group = No. 123
Magnetization = 0.3 μB/f.u.
DOS(E_F) = 6.6 states/eV/cell
ΔH_f (0 K) = 1.274 eV per atom

Structure (Quantum ESPRESSO input):
```
&SYSTEM
  ibrav = 0, nat = 5, ntyp = 4
/
ATOMIC_SPECIES
Cr 52.00 Cr.upf
P 30.97 P.upf
Pb 207.20 Pb.upf
As 74.92 As.upf
ATOMIC_POSITIONS angstrom
Cr 2.3992 -2.7535 2.1842
P 0.0000 0.0000 0.0000
Pb 0.7145 -2.4594 -0.6742
As -0.5223 -0.7471 2.1718
As 2.2070 0.4530 0.6866
CELL_PARAMETERS angstrom
-1.0446 -1.4941 4.3435
1.4290 -4.9188 -1.3483
4.4140 0.9059 1.3732
```

Entry 4:
Below is a relaxed structure of Na5Tl6, with properties calculated at the PBE level. Values from VASP.

Properties
Space group = No. 71
Magnetization = 0.0 μB/f.u.
DOS(E_F) = 3.3 states/eV/cell
Distance to the lowest polymorph of the same formula = 0.0 meV/atom
ΔH_f (0 K) = -0.069 eV per atom

Structure (Quantum ESPRESSO input):
```
&SYSTEM
  ibrav = 0, nat = 11, ntyp = 2
/
ATOMIC_SPECIES
Tl 204.38 Tl.upf
Na 22.99 Na.upf
ATOMIC_POSITIONS angstrom
Tl 4.2817 -0.0017 5.0660
Tl 1.7381 5.9654 -3.1604
Tl 2.2980 1.4588 -1.3517
Tl -0.1617 6.7046 -0.5207
Tl 3.7399 4.3628 3.3141
Tl 0.3800 2.3401 1.2312
Na 1.4395 2.0484 4.6581
Na 2.6804 4.6546 -0.1128
Na 0.7915 5.4934 2.5634
Na -0.4610 3.7111 -1.4895
Na 3.3284 1.2096 1.9819
CELL_PARAMETERS angstrom
4.9581 0.0019 -1.5330
-0.9219 7.4223 -2.9790
0.0838 -0.7212 9.0574
```

Entry 5:
Below is a relaxed structure of Pr5Nd5Y, with properties calculated at the PBE level. Values from VASP.

Properties
Space group = No. 12
Magnetization = 0.2 μB/f.u.
DOS(E_F) = 18.4 states/eV/cell
Distance to the lowest polymorph of the same formula = 0.0 meV/atom
ΔH_f (0 K) = 0.228 eV per atom

Structure (Quantum ESPRESSO input):
```
&SYSTEM
  ibrav = 0, nat = 11, ntyp = 3
/
ATOMIC_SPECIES
Nd 144.24 Nd.upf
Pr 140.91 Pr.upf
Y 88.91 Y.upf
ATOMIC_POSITIONS angstrom
Nd -0.6318 -4.0486 5.3932
Nd -2.0469 -3.7671 0.7772
Nd -3.4982 -1.8342 5.7453
Nd -2.9415 1.7339 0.9922
Nd -4.9133 -1.5527 1.1292
Pr -1.7207 -1.9613 -1.6739
Pr -3.8026 -4.5662 3.5184
Pr -4.7466 0.7412 4.0109
Pr -0.7985 -6.3425 2.5115
Pr -1.7425 -1.0352 3.0041
Y 0.0000 0.0000 0.0000
CELL_PARAMETERS angstrom
-3.4415 -3.9226 -3.3478
3.7794 -5.1465 7.8858
-5.8830 3.4677 1.9845
```

Entry 6:
Below is a relaxed structure of Ce2MgCd4, with properties calculated at the PBE level. Values from VASP.

Properties
Space group = No. 139
Magnetization = 3.2 μB/f.u.
DOS(E_F) = 21.0 states/eV/cell
Distance to the lowest polymorph of the same formula = 245.4 meV/atom
ΔH_f (0 K) = 0.217 eV per atom

Structure (Quantum ESPRESSO input):
```
&SYSTEM
  ibrav = 0, nat = 7, ntyp = 3
/
ATOMIC_SPECIES
Cd 112.41 Cd.upf
Ce 140.12 Ce.upf
Mg 24.30 Mg.upf
ATOMIC_POSITIONS angstrom
Cd 2.5448 0.0000 0.0000
Cd 2.5448 2.5448 5.3558
Cd 0.0000 2.5448 0.0000
Cd 0.0000 0.0000 2.8535
Ce 2.5448 2.5448 2.1559
Ce 0.0000 0.0000 6.0535
Mg 0.0000 0.0000 0.0000
CELL_PARAMETERS angstrom
5.0897 0.0000 0.0000
0.0000 5.0897 0.0000
-2.5448 -2.5448 8.2093
```